This record from Alexandria describes a geometry-optimized Be2TlBAu structure. The functional is PBE.

Results
**Formation enthalpy at 0 K**: 519 meV per atom
**Spin magnetization**: 0.000 Bohr magnetons per cell

Unit cell a=3.8642 b=3.8642 c=5.3796 alpha=90.00 beta=90.00 gamma=90.00
With the nearest neighbours (Å) after each atom.
Fractional positions:
Be1 0.0000 0.5000 0.0000  2 B 1.93
Be2 0.5000 0.0000 0.0000  2 B 1.93
Tl1 0.0000 0.0000 0.5000  2 B 2.69, 4 Au 2.73
B1 0.0000 0.0000 0.0000  4 Be 1.93
Au1 0.5000 0.5000 0.5000  4 Tl 2.73